Entry 1:
This record from Alexandria via LeMat-Bulk describes crystalline CaCrW2 at its relaxed geometry. The functional is PBE.

Cell and atoms, written as POSCAR:
```
CaCrW2
1.0
2.725 0.000 0.000
0.000 4.785 0.000
0.000 0.000 5.452
Ca Cr W
1 1 2
Cartesian
0.000 0.000 0.000 Ca
0.000 0.000 2.726 Cr
1.363 2.392 1.432 W
1.363 2.392 4.019 W
```

- Magnetization: 2.469 μB per formula unit
- Space-group type: Pmmm, No. 47
- DFT total energy: -33.7 eV per cell
- Formation enthalpy at 0 K: 368 kJ/mol of formula units

---

Entry 2:
This record from Alexandria via LeMat-Bulk describes crystalline AcTb2Sm at its relaxed geometry. The functional is PBE.

Cell and atoms, written as POSCAR:
```
AcTb2Sm
1.0
5.229 0.000 0.000
0.000 5.229 0.000
0.000 0.000 5.165
Ac Tb Sm
1 2 1
Cartesian
0.000 0.000 0.000 Ac
0.000 2.614 2.583 Tb
2.614 0.000 2.583 Tb
2.614 2.614 0.000 Sm
```

- Magnetization: 0.000 μB per formula unit
- Space-group type: P4/mmm, No. 123
- DFT total energy: -17.9 eV per cell
- Formation enthalpy at 0 K: 18 kJ/mol of formula units